# 1
# PBE-GGA TbNd2Y2Mg, optimized geometry
# Energy of formation from the pure elements: 0.182 eV/atom
# Total DFT energy (no corrections): -4.60 eV/atom
data_TbNd2Y2Mg
_chemical_formula_sum 'Tb4 Nd8 Y8 Mg4'
_symmetry_space_group_name_H-M 'I b a m'
_symmetry_Int_Tables_number 72
_symmetry_space_group_name_Hall '-I 2 2c'
_cell_length_a 6.855
_cell_length_b 17.733
_cell_length_c 6.428
_cell_angle_alpha 90.00
_cell_angle_beta 90.00
_cell_angle_gamma 90.00
loop_
_atom_site_label
_atom_site_type_symbol
_atom_site_fract_x
_atom_site_fract_y
_atom_site_fract_z
_atom_site_occupancy
Tb1 Tb 0.000 0.000 0.250 1
Nd1 Nd 0.163 0.152 0.000 1
Y1 Y 0.156 0.349 0.000 1
Mg1 Mg 0.000 0.500 0.250 1

# 2
# PBE-GGA Tb2Nd2Y2Mg, optimized geometry
# Energy of formation from the pure elements: 0.082 eV/atom
# Total DFT energy (no corrections): -4.68 eV/atom
data_Tb2Nd2Y2Mg
_chemical_formula_sum 'Tb4 Nd4 Y4 Mg2'
_symmetry_space_group_name_H-M 'C 1 2/m 1'
_symmetry_Int_Tables_number 12
_cell_length_a 12.207
_cell_length_b 3.681
_cell_length_c 11.675
_cell_angle_alpha 90.00
_cell_angle_beta 118.98
_cell_angle_gamma 90.00
loop_
_symmetry_equiv_pos_as_xyz
'x,y,z'
'-x,-y,-z'
'-x,y,-z'
'x,-y,z'
'x+1/2,y+1/2,z'
'-x+1/2,-y+1/2,-z'
'-x+1/2,y+1/2,-z'
'x+1/2,-y+1/2,z'
loop_
_atom_site_label
_atom_site_type_symbol
_atom_site_fract_x
_atom_site_fract_y
_atom_site_fract_z
_atom_site_occupancy
Tb1 Tb 0.246 0.000 0.128 1
Nd1 Nd 0.028 0.000 0.243 1
Y1 Y 0.179 0.000 0.586 1
Mg1 Mg 0.000 0.500 0.000 1

# 3
# PBE-GGA TbNd2Y4Mg, optimized geometry
# Energy of formation from the pure elements: 0.027 eV/atom
# Total DFT energy (no corrections): -5.18 eV/atom
data_TbNd2Y4Mg
_chemical_formula_sum 'Tb1 Nd2 Y4 Mg1'
_symmetry_space_group_name_H-M 'P m m m'
_symmetry_Int_Tables_number 47
_cell_length_a 5.004
_cell_length_b 5.017
_cell_length_c 10.199
_cell_angle_alpha 90.00
_cell_angle_beta 90.00
_cell_angle_gamma 90.00
loop_
_symmetry_equiv_pos_as_xyz
'x,y,z'
'-x,-y,-z'
'-x,-y,z'
'x,y,-z'
'x,-y,-z'
'-x,y,z'
'-x,y,-z'
'x,-y,z'
loop_
_atom_site_label
_atom_site_type_symbol
_atom_site_fract_x
_atom_site_fract_y
_atom_site_fract_z
_atom_site_occupancy
Tb1 Tb 0.000 0.000 0.000 1
Nd1 Nd 0.000 0.000 0.500 1
Nd2 Nd 0.500 0.500 0.000 1
Y1 Y 0.000 0.500 0.252 1
Y2 Y 0.500 0.000 0.252 1
Mg1 Mg 0.500 0.500 0.500 1

# 4
# PBE-GGA Tb2NdY4Mg, optimized geometry
# Energy of formation from the pure elements: 0.099 eV/atom
# Total DFT energy (no corrections): -5.09 eV/atom
data_Tb2NdY4Mg
_chemical_formula_sum 'Tb2 Nd1 Y4 Mg1'
_symmetry_space_group_name_H-M 'P 4/m m m'
_symmetry_Int_Tables_number 123
_symmetry_space_group_name_Hall '-P 4 2'
_cell_length_a 5.747
_cell_length_b 5.747
_cell_length_c 7.678
_cell_angle_alpha 90.00
_cell_angle_beta 90.00
_cell_angle_gamma 90.00
loop_
_atom_site_label
_atom_site_type_symbol
_atom_site_fract_x
_atom_site_fract_y
_atom_site_fract_z
_atom_site_occupancy
Tb1 Tb 0.000 0.000 0.000 1
Tb2 Tb 0.500 0.500 0.000 1
Nd1 Nd 0.000 0.000 0.500 1
Y1 Y 0.000 0.500 0.260 1
Mg1 Mg 0.500 0.500 0.500 1

# 5
# PBE-GGA Tb6Nd2Y3Mg, optimized geometry
# Energy of formation from the pure elements: 0.020 eV/atom
# Total DFT energy (no corrections): -4.84 eV/atom
data_Tb6Nd2Y3Mg
_chemical_formula_sum 'Tb12 Nd4 Y6 Mg2'
_symmetry_space_group_name_H-M 'C 1 2/m 1'
_symmetry_Int_Tables_number 12
_cell_length_a 6.163
_cell_length_b 10.682
_cell_length_c 11.802
_cell_angle_alpha 90.00
_cell_angle_beta 100.08
_cell_angle_gamma 90.00
loop_
_symmetry_equiv_pos_as_xyz
'x,y,z'
'-x,-y,-z'
'-x,y,-z'
'x,-y,z'
'x+1/2,y+1/2,z'
'-x+1/2,-y+1/2,-z'
'-x+1/2,y+1/2,-z'
'x+1/2,-y+1/2,z'
loop_
_atom_site_label
_atom_site_type_symbol
_atom_site_fract_x
_atom_site_fract_y
_atom_site_fract_z
_atom_site_occupancy
Tb1 Tb 0.249 0.000 0.248 1
Tb2 Tb 0.249 0.166 0.751 1
Nd1 Nd 0.000 0.333 0.500 1
Y1 Y 0.000 0.166 0.000 1
Y2 Y 0.000 0.500 0.000 1
Mg1 Mg 0.000 0.000 0.500 1

# 6
# PBE-GGA TbNdMgZr, optimized geometry
# Energy of formation from the pure elements: 0.131 eV/atom
# Total DFT energy (no corrections): -4.75 eV/atom
data_TbNdMgZr
_chemical_formula_sum 'Tb4 Nd4 Mg4 Zr4'
_symmetry_space_group_name_H-M 'F -4 3 m'
_symmetry_Int_Tables_number 216
_symmetry_space_group_name_Hall 'F -4 2 3'
_cell_length_a 7.650
_cell_length_b 7.650
_cell_length_c 7.650
_cell_angle_alpha 90.00
_cell_angle_beta 90.00
_cell_angle_gamma 90.00
loop_
_atom_site_label
_atom_site_type_symbol
_atom_site_fract_x
_atom_site_fract_y
_atom_site_fract_z
_atom_site_occupancy
Tb1 Tb 0.000 0.000 0.000 1
Nd1 Nd 0.000 0.000 0.500 1
Mg1 Mg 0.250 0.250 0.750 1
Zr1 Zr 0.250 0.250 0.250 1

# 7
# PBE-GGA Nd4MgTc, optimized geometry
# Energy of formation from the pure elements: -0.010 eV/atom
# Total DFT energy (no corrections): -5.18 eV/atom
data_Nd4MgTc
_chemical_formula_sum 'Nd16 Mg4 Tc4'
_symmetry_space_group_name_H-M 'C 1 2/c 1'
_symmetry_Int_Tables_number 15
_cell_length_a 9.242
_cell_length_b 13.267
_cell_length_c 6.359
_cell_angle_alpha 90.00
_cell_angle_beta 108.74
_cell_angle_gamma 90.00
loop_
_symmetry_equiv_pos_as_xyz
'x,y,z'
'-x,-y,-z'
'-x,y,-z+1/2'
'x,-y,z+1/2'
'x+1/2,y+1/2,z'
'-x+1/2,-y+1/2,-z'
'-x+1/2,y+1/2,-z+1/2'
'x+1/2,-y+1/2,z+1/2'
loop_
_atom_site_label
_atom_site_type_symbol
_atom_site_fract_x
_atom_site_fract_y
_atom_site_fract_z
_atom_site_occupancy
Nd1 Nd 0.106 0.166 0.053 1
Nd2 Nd 0.219 0.416 0.376 1
Mg1 Mg 0.000 0.379 0.750 1
Tc1 Tc 0.000 0.000 0.250 1

# 8
# PBE-GGA Nd2MgTe3, optimized geometry
# Formation energy without anion corrections: -110.0 kJ/mol of atoms
# Total DFT energy (no corrections): -4.57 eV/atom
data_Nd2MgTe3
_chemical_formula_sum 'Nd12 Mg6 Te18'
_symmetry_space_group_name_H-M 'R -3 c'
_symmetry_Int_Tables_number 167
_symmetry_space_group_name_Hall '-R 3 2"c'
_cell_length_a 7.9483
_cell_length_b 7.9483
_cell_length_c 21.3221
_cell_angle_alpha 90.00
_cell_angle_beta 90.00
_cell_angle_gamma 120.00
loop_
_atom_site_label
_atom_site_type_symbol
_atom_site_fract_x
_atom_site_fract_y
_atom_site_fract_z
_atom_site_occupancy
Nd1 Nd 0.0000 0.0000 0.1645 1
Mg1 Mg 0.0000 0.0000 0.0000 1
Te1 Te 0.0000 0.3351 0.2500 1

# 9
# PBE-GGA NdMgTe2, optimized geometry
# Energy above the most stable polymorph in this dataset: 0.09 eV/f.u.
# Formation energy without anion corrections: -103.3 kJ/mol of atoms
# Total DFT energy (no corrections): -4.23 eV/atom
data_NdMgTe2
_chemical_formula_sum 'Nd3 Mg3 Te6'
_symmetry_space_group_name_H-M 'R -3 m'
_symmetry_Int_Tables_number 166
_symmetry_space_group_name_Hall '-R 3 2"'
_cell_length_a 4.2407
_cell_length_b 4.2407
_cell_length_c 22.7803
_cell_angle_alpha 90.00
_cell_angle_beta 90.00
_cell_angle_gamma 120.00
loop_
_atom_site_label
_atom_site_type_symbol
_atom_site_fract_x
_atom_site_fract_y
_atom_site_fract_z
_atom_site_occupancy
Nd1 Nd 0.0000 0.0000 0.0000 1
Mg1 Mg 0.0000 0.0000 0.5000 1
Te1 Te 0.0000 0.0000 0.2419 1

# 10
# PBE-GGA Nd4MgTe7, optimized geometry
# Formation energy without anion corrections: -126.7 kJ/mol of atoms
# Total DFT energy (no corrections): -4.87 eV/atom
data_Nd4MgTe7
_chemical_formula_sum 'Nd8 Mg2 Te14'
_symmetry_space_group_name_H-M 'C 1 m 1'
_symmetry_Int_Tables_number 8
_cell_length_a 14.518
_cell_length_b 4.369
_cell_length_c 13.277
_cell_angle_alpha 90.00
_cell_angle_beta 105.49
_cell_angle_gamma 90.00
loop_
_symmetry_equiv_pos_as_xyz
'x,y,z'
'x,-y,z'
'x+1/2,y+1/2,z'
'x+1/2,-y+1/2,z'
loop_
_atom_site_label
_atom_site_type_symbol
_atom_site_fract_x
_atom_site_fract_y
_atom_site_fract_z
_atom_site_occupancy
Nd1 Nd 0.000 0.000 0.000 1
Nd2 Nd 0.079 0.500 0.358 1
Nd3 Nd 0.191 0.000 0.765 1
Nd4 Nd 0.384 0.500 0.557 1
Mg1 Mg 0.268 0.500 0.139 1
Te1 Te 0.047 0.500 0.614 1
Te2 Te 0.131 0.500 0.925 1
Te3 Te 0.158 0.000 0.215 1
Te4 Te 0.220 0.000 0.517 1
Te5 Te 0.351 0.500 0.780 1
Te6 Te 0.380 0.000 0.071 1
Te7 Te 0.416 0.500 0.336 1

# 11
# PBE-GGA Nd4MgTe5, optimized geometry
# Formation energy without anion corrections: -123.5 kJ/mol of atoms
# Total DFT energy (no corrections): -4.92 eV/atom
data_Nd4MgTe5
_chemical_formula_sum 'Nd8 Mg2 Te10'
_symmetry_space_group_name_H-M 'I 4'
_symmetry_Int_Tables_number 79
_cell_length_a 9.967
_cell_length_b 9.967
_cell_length_c 6.308
_cell_angle_alpha 90.00
_cell_angle_beta 90.00
_cell_angle_gamma 90.00
loop_
_symmetry_equiv_pos_as_xyz
'x,y,z'
'-y,x,z'
'-x,-y,z'
'y,-x,z'
'x+1/2,y+1/2,z+1/2'
'-y+1/2,x+1/2,z+1/2'
'-x+1/2,-y+1/2,z+1/2'
'y+1/2,-x+1/2,z+1/2'
loop_
_atom_site_label
_atom_site_type_symbol
_atom_site_fract_x
_atom_site_fract_y
_atom_site_fract_z
_atom_site_occupancy
Nd1 Nd 0.092 0.309 0.000 1
Mg1 Mg 0.000 0.000 0.475 1
Te1 Te 0.000 0.000 0.992 1
Te2 Te 0.099 0.279 0.500 1

# 12
# PBE-GGA NdMgTe2, optimized geometry
# Energy above the most stable polymorph in this dataset: 0.00 eV/f.u.
# Formation energy without anion corrections: -105.5 kJ/mol of atoms
# Total DFT energy (no corrections): -4.25 eV/atom
data_NdMgTe2
_chemical_formula_sum 'Nd3 Mg3 Te6'
_symmetry_space_group_name_H-M 'R 3 m'
_symmetry_Int_Tables_number 160
_symmetry_space_group_name_Hall 'R 3 -2"'
_cell_length_a 4.2670
_cell_length_b 4.2670
_cell_length_c 22.5667
_cell_angle_alpha 90.00
_cell_angle_beta 90.00
_cell_angle_gamma 120.00
loop_
_atom_site_label
_atom_site_type_symbol
_atom_site_fract_x
_atom_site_fract_y
_atom_site_fract_z
_atom_site_occupancy
Nd1 Nd 0.0000 0.0000 0.0000 1
Mg1 Mg 0.0000 0.0000 0.1661 1
Te1 Te 0.0000 0.0000 0.5728 1
Te2 Te 0.0000 0.0000 0.7574 1